#1
A plane-wave DFT calculation with PBE was carried out for Al5CuNi after structural relaxation.

Values from the calculation:
Its mass density is 4.0 g cm⁻³. As for the total magnetization: 0.00 μB per cell.

Cell and atoms, written as CIF:
```
data_Al5CuNi
_chemical_formula_sum 'Al5 Cu1 Ni1'
_cell_length_a 4.0110
_cell_length_b 4.0110
_cell_length_c 6.5989
_cell_angle_alpha 90.00
_cell_angle_beta 90.00
_cell_angle_gamma 90.00
_space_group_name_H-M_alt 'P 4/m m m'
_space_group_IT_number 123
_space_group_name_Hall '-P 4 2'
loop_
_atom_site_label
_atom_site_fract_x
_atom_site_fract_y
_atom_site_fract_z
Al1 0.0000 0.0000 0.0000
Al2 0.0000 0.5000 0.2906
Cu1 0.5000 0.5000 0.0000
Ni1 0.5000 0.5000 0.5000
```

=====

#2
A plane-wave DFT calculation with PBE was carried out for Al5CuNi after structural relaxation.

Values from the calculation:
Its mass density is 4.1 g cm⁻³. As for the total magnetization: 0.00 μB per cell.

Cell and atoms, written as CIF:
```
data_Al5CuNi
_chemical_formula_sum 'Al5 Cu1 Ni1'
_cell_length_a 4.0471
_cell_length_b 4.0471
_cell_length_c 6.4266
_cell_angle_alpha 90.00
_cell_angle_beta 90.00
_cell_angle_gamma 90.00
_space_group_name_H-M_alt 'P 4/m m m'
_space_group_IT_number 123
_space_group_name_Hall '-P 4 2'
loop_
_atom_site_label
_atom_site_fract_x
_atom_site_fract_y
_atom_site_fract_z
Al1 0.0000 0.0000 0.0000
Al2 0.0000 0.5000 0.2754
Cu1 0.5000 0.5000 0.5000
Ni1 0.5000 0.5000 0.0000
```

=====

Here are the energies relative to the best structure, in meV per atom: #1 0; #2 63.

=====

#1
A plane-wave DFT calculation with PBE was carried out for AlCu5Ni2 after structural relaxation.

Values from the calculation:
Its mass density is 7.9 g cm⁻³. As for the total magnetization: 0.00 μB per cell.

Cell and atoms, written as CIF:
```
data_AlCu5Ni2
_chemical_formula_sum 'Al2 Cu10 Ni4'
_cell_length_a 2.5553
_cell_length_b 8.1389
_cell_length_c 9.2950
_cell_angle_alpha 90.00
_cell_angle_beta 90.00
_cell_angle_gamma 90.00
_space_group_name_H-M_alt 'I m m m'
_space_group_IT_number 71
_space_group_name_Hall '-I 2 2'
loop_
_atom_site_label
_atom_site_fract_x
_atom_site_fract_y
_atom_site_fract_z
Al1 0.0000 0.0000 0.0000
Cu1 0.0000 0.2235 0.3672
Cu2 0.0000 0.5000 0.0000
Ni1 0.0000 0.5000 0.2707
```

=====

#2
A plane-wave DFT calculation with PBE was carried out for AlCu5Ni2 after structural relaxation.

Values from the calculation:
Its mass density is 8.1 g cm⁻³. As for the total magnetization: 0.00 μB per cell.

Cell and atoms, written as CIF:
```
data_AlCu5Ni2
_chemical_formula_sum 'Al2 Cu10 Ni4'
_cell_length_a 5.1210
_cell_length_b 10.2276
_cell_length_c 3.6032
_cell_angle_alpha 90.00
_cell_angle_beta 90.00
_cell_angle_gamma 90.00
_space_group_name_H-M_alt 'P b a m'
_space_group_IT_number 55
loop_
_space_group_symop_operation_xyz
'x,y,z'
'-x,-y,-z'
'-x,-y,z'
'x,y,-z'
'x+1/2,-y+1/2,-z'
'-x+1/2,y+1/2,z'
'-x+1/2,y+1/2,-z'
'x+1/2,-y+1/2,z'
loop_
_atom_site_label
_atom_site_fract_x
_atom_site_fract_y
_atom_site_fract_z
Al1 0.0000 0.0000 0.0000
Cu1 0.0000 0.5000 0.0000
Cu2 0.0170 0.2509 0.0000
Cu3 0.2345 0.6285 0.5000
Ni1 0.2344 0.8793 0.5000
```

=====

Here are the energies relative to the best structure, in meV per atom: #1 89; #2 0.

=====

#1
A plane-wave DFT calculation with PBE was carried out for AlCuNi6 after structural relaxation.

Values from the calculation:
Its mass density is 8.2 g cm⁻³. As for the total magnetization: 2.42 μB per cell.

Cell and atoms, written as CIF:
```
data_AlCuNi6
_chemical_formula_sum 'Al1 Cu1 Ni6'
_cell_length_a 3.5510
_cell_length_b 3.5510
_cell_length_c 7.1157
_cell_angle_alpha 90.00
_cell_angle_beta 90.00
_cell_angle_gamma 90.00
_space_group_name_H-M_alt 'P 4/m m m'
_space_group_IT_number 123
_space_group_name_Hall '-P 4 2'
loop_
_atom_site_label
_atom_site_fract_x
_atom_site_fract_y
_atom_site_fract_z
Al1 0.0000 0.0000 0.0000
Cu1 0.0000 0.0000 0.5000
Ni1 0.0000 0.5000 0.2508
Ni2 0.5000 0.5000 0.0000
Ni3 0.5000 0.5000 0.5000
```

=====

#2
A plane-wave DFT calculation with PBE was carried out for AlCuNi6 after structural relaxation.

Values from the calculation:
Its mass density is 7.1 g cm⁻³. As for the total magnetization: 2.08 μB per cell.

Cell and atoms, written as CIF:
```
data_AlCuNi6
_chemical_formula_sum 'Al1 Cu1 Ni6'
_cell_length_a 3.3298
_cell_length_b 3.3298
_cell_length_c 9.2768
_cell_angle_alpha 90.00
_cell_angle_beta 90.00
_cell_angle_gamma 90.00
_space_group_name_H-M_alt 'P 4/m m m'
_space_group_IT_number 123
_space_group_name_Hall '-P 4 2'
loop_
_atom_site_label
_atom_site_fract_x
_atom_site_fract_y
_atom_site_fract_z
Al1 0.0000 0.0000 0.0000
Cu1 0.0000 0.0000 0.5000
Ni1 0.0000 0.5000 0.1966
Ni2 0.5000 0.5000 0.3793
```

=====

#3
A plane-wave DFT calculation with PBE was carried out for AlCuNi6 after structural relaxation.

Values from the calculation:
Its mass density is 7.2 g cm⁻³. As for the total magnetization: 2.23 μB per cell.

Cell and atoms, written as CIF:
```
data_AlCuNi6
_chemical_formula_sum 'Al1 Cu1 Ni6'
_cell_length_a 3.2929
_cell_length_b 3.2929
_cell_length_c 9.4538
_cell_angle_alpha 90.00
_cell_angle_beta 90.00
_cell_angle_gamma 90.00
_space_group_name_H-M_alt 'P 4/m m m'
_space_group_IT_number 123
_space_group_name_Hall '-P 4 2'
loop_
_atom_site_label
_atom_site_fract_x
_atom_site_fract_y
_atom_site_fract_z
Al1 0.0000 0.0000 0.0000
Cu1 0.0000 0.0000 0.5000
Ni1 0.0000 0.5000 0.3072
Ni2 0.5000 0.5000 0.1219
```

=====

Here are the energies relative to the best structure, in meV per atom: #1 0; #2 416; #3 430.

=====

#1
A plane-wave DFT calculation with PBE was carried out for AlCuNi6 after structural relaxation.

Values from the calculation:
Its mass density is 8.2 g cm⁻³. As for the total magnetization: 16.90 μB per cell.

Cell and atoms, written as CIF:
```
data_AlCuNi6
_chemical_formula_sum 'Al8 Cu8 Ni48'
_cell_length_a 7.0809
_cell_length_b 10.0651
_cell_length_c 10.0611
_cell_angle_alpha 90.00
_cell_angle_beta 90.00
_cell_angle_gamma 90.00
_space_group_name_H-M_alt 'C m m m'
_space_group_IT_number 65
_space_group_name_Hall '-C 2 2'
loop_
_atom_site_label
_atom_site_fract_x
_atom_site_fract_y
_atom_site_fract_z
Al1 0.0000 0.0000 0.2501
Al2 0.0000 0.2485 0.0000
Cu1 0.0000 0.2494 0.5000
Cu2 0.0000 0.5000 0.2513
Ni1 0.0000 0.0000 0.0000
Ni2 0.0000 0.0000 0.5000
Ni3 0.0000 0.2492 0.2506
Ni4 0.0000 0.5000 0.0000
Ni5 0.0000 0.5000 0.5000
Ni6 0.2488 0.3752 0.1253
Ni7 0.2493 0.3749 0.3754
```

=====

#2
A plane-wave DFT calculation with PBE was carried out for AlCuNi6 after structural relaxation.

Values from the calculation:
Its mass density is 7.2 g cm⁻³. As for the total magnetization: 2.90 μB per cell.

Cell and atoms, written as CIF:
```
data_AlCuNi6
_chemical_formula_sum 'Al2 Cu2 Ni12'
_cell_length_a 7.1243
_cell_length_b 4.7399
_cell_length_c 6.3178
_cell_angle_alpha 90.00
_cell_angle_beta 107.32
_cell_angle_gamma 90.00
_space_group_name_H-M_alt 'C 1 2/m 1'
_space_group_IT_number 12
loop_
_space_group_symop_operation_xyz
'x,y,z'
'-x,-y,-z'
'-x,y,-z'
'x,-y,z'
'x+1/2,y+1/2,z'
'-x+1/2,-y+1/2,-z'
'-x+1/2,y+1/2,-z'
'x+1/2,-y+1/2,z'
loop_
_atom_site_label
_atom_site_fract_x
_atom_site_fract_y
_atom_site_fract_z
Al1 0.0000 0.0000 0.0000
Cu1 0.0000 0.5000 0.5000
Ni1 0.1339 0.0000 0.4275
Ni2 0.2026 0.2397 0.8008
```

=====

Here are the energies relative to the best structure, in meV per atom: #1 0; #2 318.